a:
VASP calculation (PBE-GGA) on an optimized crystal structure of HoTmHg.

Summary:
The crystal system is orthorhombic.

Cell lengths 5.188, 5.188, 6.875 Å; angles 90.00, 90.00, 120.10 degrees
Fractional coordinates of all 6 atoms:
Ho1 0.000 0.000 0.000
Ho2 0.000 0.000 0.500
Tm1 0.333 0.667 0.750
Tm2 0.667 0.333 0.250
Hg1 0.334 0.666 0.250
Hg2 0.666 0.334 0.750



b:
VASP calculation (PBE-GGA) on an optimized crystal structure of HoTmHg.

Summary:
The crystal system is cubic.

Cell lengths 5.051, 5.051, 5.051 Å; angles 60.00, 60.00, 60.00 degrees
Fractional coordinates of all 3 atoms:
Ho1 0.000 0.000 0.000
Tm1 0.500 0.500 0.500
Hg1 0.750 0.750 0.750



c:
VASP calculation (PBE-GGA) on an optimized crystal structure of HoTmHg.

Summary:
The crystal system is tetragonal.

Cell lengths 6.874, 6.874, 6.874 Å; angles 149.87, 149.87, 43.14 degrees
Fractional coordinates of all 3 atoms:
Ho1 0.000 0.000 0.000
Tm1 0.309 0.309 0.000
Hg1 0.657 0.657 0.000



a takes first place; second place is 10 meV/atom up.



a:
VASP calculation (PBE-GGA) on an optimized crystal structure of HoTm2Hg6.

Summary:
The crystal system is tetragonal.

Cell lengths 13.109, 13.109, 13.109 Å; angles 160.35, 160.35, 27.93 degrees
Fractional coordinates of all 9 atoms:
Ho1 0.000 0.000 0.000
Tm1 0.333 0.333 0.000
Tm2 0.667 0.667 0.000
Hg1 0.084 0.584 0.500
Hg2 0.250 0.750 0.500
Hg3 0.416 0.916 0.500
Hg4 0.584 0.084 0.500
Hg5 0.750 0.250 0.500
Hg6 0.916 0.416 0.500



b:
VASP calculation (PBE-GGA) on an optimized crystal structure of HoTm2Hg6.

Summary:
The crystal system is monoclinic.

Cell lengths 9.196, 9.196, 5.398 Å; angles 97.73, 97.73, 78.17 degrees
Fractional coordinates of all 18 atoms:
Ho1 0.126 0.874 0.750
Ho2 0.874 0.126 0.250
Tm1 0.208 0.459 0.916
Tm2 0.459 0.208 0.416
Tm3 0.541 0.792 0.584
Tm4 0.792 0.541 0.084
Hg1 0.014 0.762 0.196
Hg2 0.098 0.349 0.362
Hg3 0.238 0.986 0.304
Hg4 0.320 0.569 0.471
Hg5 0.349 0.098 0.862
Hg6 0.431 0.680 0.029
Hg7 0.569 0.320 0.971
Hg8 0.651 0.902 0.138
Hg9 0.680 0.431 0.529
Hg10 0.762 0.014 0.696
Hg11 0.902 0.651 0.638
Hg12 0.986 0.238 0.804



b takes first place; second place is 238 meV/atom up.